This record from Alexandria describes crystalline Np2P3Pd5 at its relaxed geometry. The functional is PBE-GGA.

a = 4.232 Å, b = 7.123 Å, c = 11.637 Å
α = 90.00°, β = 100.48°, γ = 90.00°
Site moments in Bohr magnetons follow the coordinates.
Atoms (fractional coordinates):
Pd: 0.862 0.699 0.725  -0.03
Pd: 0.725 0.007 0.450  -0.01
Pd: 0.399 0.447 0.798  -0.10
Pd: 0.942 0.019 0.883  -0.07
Pd: 0.304 0.901 0.607  0.00
Pd: 0.138 0.199 0.275  -0.03
Pd: 0.696 0.401 0.393  0.00
Pd: 0.601 0.947 0.202  -0.10
Pd: 0.275 0.507 0.550  -0.01
Pd: 0.058 0.519 0.117  -0.07
P: 0.395 0.081 0.791  -0.07
P: 0.952 0.506 0.904  -0.09
P: 0.761 0.690 0.522  -0.02
P: 0.239 0.190 0.478  -0.02
P: 0.048 0.006 0.096  -0.09
P: 0.605 0.581 0.209  -0.07
Np: 0.832 0.250 0.663  3.56
Np: 0.516 0.263 0.031  3.56
Np: 0.168 0.750 0.337  3.56
Np: 0.484 0.763 0.969  3.56

As for the space group: Cmc2_1, No. 36. The value obtained for the formation energy from the elements is -0.561 eV per atom. For the total energy, the calculation gives -147.4 eV/cell. The mass density is 10.6 Mg/m³.